A plane-wave DFT calculation with GGA-PBE was carried out for an optimized crystal structure of In12Hg5As3.

Total magnetization (μB/f.u.): 0.000
Energy of formation (eV/atom): 0.10
D(E_F) (states/eV/atom): 0.39
SG: Ia-3d (230)

a = 14.7937 Å, b = 14.7937 Å, c = 14.7937 Å
α = 109.47°, β = 109.47°, γ = 109.47°
Last column: nearest neighbours and their distance in Å.
Element x y z (fractional)
As 0.7500 0.3750 0.1250  8 In 2.93-3.26
As 0.8750 0.7500 0.1250  8 In 2.93-3.26
As 0.3750 0.7500 0.6250  8 In 2.93-3.26
As 0.2500 0.1250 0.3750  8 In 2.93-3.26
As 0.8750 0.1250 0.2500  8 In 2.93-3.26
As 0.3750 0.6250 0.2500  8 In 2.93-3.26
As 0.6250 0.3750 0.7500  8 In 2.93-3.26
As 0.1250 0.8750 0.7500  8 In 2.93-3.26
As 0.7500 0.8750 0.6250  8 In 2.93-3.26
As 0.6250 0.2500 0.3750  8 In 2.93-3.26
As 0.1250 0.2500 0.8750  8 In 2.93-3.26
As 0.2500 0.6250 0.8750  8 In 2.93-3.26
Hg 0.1250 0.3750 0.2500  4 In 2.87
Hg 0.0000 0.5000 0.0000  6 In 2.94
Hg 0.0000 0.0000 0.0000  6 In 2.94
Hg 0.3750 0.2500 0.1250  4 In 2.87
Hg 0.5000 0.0000 0.5000  6 In 2.94
Hg 0.5000 0.5000 0.0000  6 In 2.94
Hg 0.1250 0.7500 0.3750  4 In 2.87
Hg 0.7500 0.1250 0.8750  4 In 2.87
Hg 0.7500 0.6250 0.3750  4 In 2.87
Hg 0.3750 0.1250 0.7500  4 In 2.87
Hg 0.6250 0.8750 0.2500  4 In 2.87
Hg 0.5000 0.5000 0.5000  6 In 2.94
Hg 0.5000 0.0000 0.0000  6 In 2.94
Hg 0.0000 0.0000 0.5000  6 In 2.94
Hg 0.2500 0.3750 0.6250  4 In 2.87
Hg 0.2500 0.8750 0.1250  4 In 2.87
Hg 0.0000 0.5000 0.5000  6 In 2.94
Hg 0.8750 0.2500 0.6250  4 In 2.87
Hg 0.6250 0.7500 0.8750  4 In 2.87
Hg 0.8750 0.6250 0.7500  4 In 2.87
In 0.7324 0.1343 0.0650  2 Hg 2.87-2.94, 1 As 2.93, 1 In 3.17
In 0.3326 0.5650 0.4307  2 Hg 2.87-2.94, 1 As 2.93, 1 In 3.17
In 0.9350 0.3657 0.2676  2 Hg 2.87-2.94, 1 As 2.93, 1 In 3.17
In 0.5650 0.2324 0.1343  2 Hg 2.87-2.94, 1 As 2.93, 1 In 3.17
In 0.5981 0.7324 0.6674  2 Hg 2.87-2.94, 1 As 2.93, 1 In 3.17
In 0.9350 0.5693 0.1674  2 Hg 2.87-2.94, 1 As 2.93, 1 In 3.17
In 0.3326 0.7676 0.4019  2 Hg 2.87-2.94, 1 As 2.93, 1 In 3.17
In 0.0693 0.9019 0.1343  2 Hg 2.87-2.94, 1 As 2.93, 1 In 3.17
In 0.5693 0.9350 0.6674  2 Hg 2.87-2.94, 1 As 2.93, 1 In 3.17
In 0.7324 0.5981 0.1674  2 Hg 2.87-2.94, 1 As 2.93, 1 In 3.17
In 0.7676 0.4350 0.3657  2 Hg 2.87-2.94, 1 As 2.93, 1 In 3.17
In 0.8326 0.9307 0.0650  2 Hg 2.87-2.94, 1 As 2.93, 1 In 3.17
In 0.1343 0.7324 0.5650  2 Hg 2.87-2.94, 1 As 2.93, 1 In 3.17
In 0.3657 0.4307 0.0981  2 Hg 2.87-2.94, 1 As 2.93, 1 In 3.17
In 0.0981 0.9307 0.3657  2 Hg 2.87-2.94, 1 As 2.93, 1 In 3.17
In 0.4019 0.1343 0.5693  2 Hg 2.87-2.94, 1 As 2.93, 1 In 3.17
In 0.0981 0.1674 0.2324  2 Hg 2.87-2.94, 1 As 2.93, 1 In 3.17
In 0.4350 0.6674 0.0693  2 Hg 2.87-2.94, 1 As 2.93, 1 In 3.17
In 0.8326 0.9019 0.2676  2 Hg 2.87-2.94, 1 As 2.93, 1 In 3.17
In 0.1343 0.4019 0.0693  2 Hg 2.87-2.94, 1 As 2.93, 1 In 3.17
In 0.3657 0.9350 0.7676  2 Hg 2.87-2.94, 1 As 2.93, 1 In 3.17
In 0.5693 0.6343 0.4019  2 Hg 2.87-2.94, 1 As 2.93, 1 In 3.17
In 0.9307 0.8326 0.5650  2 Hg 2.87-2.94, 1 As 2.93, 1 In 3.17
In 0.7676 0.3326 0.9019  2 Hg 2.87-2.94, 1 As 2.93, 1 In 3.17
In 0.4307 0.3657 0.5981  2 Hg 2.87-2.94, 1 As 2.93, 1 In 3.17
In 0.0693 0.1674 0.4350  2 Hg 2.87-2.94, 1 As 2.93, 1 In 3.17
In 0.2324 0.6674 0.0981  2 Hg 2.87-2.94, 1 As 2.93, 1 In 3.17
In 0.1674 0.0981 0.7324  2 Hg 2.87-2.94, 1 As 2.93, 1 In 3.17
In 0.6343 0.0650 0.2324  2 Hg 2.87-2.94, 1 As 2.93, 1 In 3.17
In 0.8657 0.5981 0.9307  2 Hg 2.87-2.94, 1 As 2.93, 1 In 3.17
In 0.5650 0.3326 0.9307  2 Hg 2.87-2.94, 1 As 2.93, 1 In 3.17
In 0.5981 0.8657 0.4307  2 Hg 2.87-2.94, 1 As 2.93, 1 In 3.17
In 0.9019 0.8326 0.7676  2 Hg 2.87-2.94, 1 As 2.93, 1 In 3.17
In 0.9019 0.0693 0.6343  2 Hg 2.87-2.94, 1 As 2.93, 1 In 3.17
In 0.8657 0.2676 0.4350  2 Hg 2.87-2.94, 1 As 2.93, 1 In 3.17
In 0.1674 0.0693 0.9350  2 Hg 2.87-2.94, 1 As 2.93, 1 In 3.17
In 0.6343 0.5693 0.9019  2 Hg 2.87-2.94, 1 As 2.93, 1 In 3.17
In 0.4307 0.0650 0.3326  2 Hg 2.87-2.94, 1 As 2.93, 1 In 3.17
In 0.2676 0.4019 0.8326  2 Hg 2.87-2.94, 1 As 2.93, 1 In 3.17
In 0.2324 0.5650 0.6343  2 Hg 2.87-2.94, 1 As 2.93, 1 In 3.17
In 0.9307 0.0981 0.8657  2 Hg 2.87-2.94, 1 As 2.93, 1 In 3.17
In 0.6674 0.2324 0.5981  2 Hg 2.87-2.94, 1 As 2.93, 1 In 3.17
In 0.4350 0.7676 0.8657  2 Hg 2.87-2.94, 1 As 2.93, 1 In 3.17
In 0.0650 0.4307 0.8326  2 Hg 2.87-2.94, 1 As 2.93, 1 In 3.17
In 0.4019 0.2676 0.3326  2 Hg 2.87-2.94, 1 As 2.93, 1 In 3.17
In 0.0650 0.6343 0.7324  2 Hg 2.87-2.94, 1 As 2.93, 1 In 3.17
In 0.6674 0.4350 0.5693  2 Hg 2.87-2.94, 1 As 2.93, 1 In 3.17
In 0.2676 0.8657 0.9350  2 Hg 2.87-2.94, 1 As 2.93, 1 In 3.17



A plane-wave DFT calculation with GGA-PBE was carried out for an optimized crystal structure of BaLiUN3.

Total magnetization (μB/f.u.): 0.000
Energy relative to the elements, uncorrected (eV/atom): -1.05
SG: P2_1/m (11)

a = 3.6388 Å, b = 7.5464 Å, c = 7.4656 Å
α = 107.65°, β = 90.00°, γ = 90.00°
Last column: nearest neighbours and their distance in Å.
Element x y z (fractional)
Ba 0.7500 0.7894 0.7455  5 N 2.79-2.98, 1 Li 3.00
Ba 0.2500 0.2106 0.2545  5 N 2.79-2.98, 1 Li 3.00
Li 0.2500 0.0735 0.5921  4 N 1.96-2.09
Li 0.7500 0.9265 0.4079  4 N 1.96-2.09
U 0.2500 0.6797 0.1594  4 N 2.01-2.25
U 0.7500 0.3203 0.8406  4 N 2.01-2.25
N 0.2500 0.8017 0.4393  1 U 2.01, 3 Li 2.02-2.09
N 0.7500 0.8450 0.1323  1 Li 1.96
N 0.7500 0.4651 0.1320  1 U 2.12
N 0.7500 0.1983 0.5607  1 U 2.01, 3 Li 2.02-2.09
N 0.2500 0.5349 0.8680  1 U 2.12
N 0.2500 0.1550 0.8677  1 Li 1.96



A plane-wave DFT calculation with GGA-PBE was carried out for an optimized crystal structure of AgPCl.

Total magnetization (μB/f.u.): 0.002
Energy relative to the elements, uncorrected (eV/atom): 0.71
Offset from the most stable computed form (eV per atom): 0.7172
D(E_F) (states/eV/atom): 0.83
SG: F-43m (216)

a = 4.5311 Å, b = 4.5311 Å, c = 4.5311 Å
α = 60.00°, β = 60.00°, γ = 60.00°
Last column: nearest neighbours and their distance in Å.
Element x y z (fractional)
Ag 0.0000 0.0000 0.0000  4 P 2.77
Cl 0.5000 0.5000 0.5000  4 P 2.77
P 0.7500 0.7500 0.7500  4 Cl 2.77, 4 Ag 2.77



A plane-wave DFT calculation with GGA-PBE was carried out for an optimized crystal structure of Ac2HfSnPt6.

Total magnetization (μB/f.u.): 0.000
Energy of formation (eV/atom): -0.41
D(E_F) (states/eV/atom): 0.39
SG: Fm-3m (225)

a = 7.1363 Å, b = 7.1363 Å, c = 7.1363 Å
α = 60.00°, β = 60.00°, γ = 90.00°
Last column: nearest neighbours and their distance in Å.
Element x y z (fractional)
Ac 0.2500 0.7500 0.5000  12 Pt 3.57
Ac 0.7500 0.2500 0.5000  12 Pt 3.57
Hf 0.5000 0.5000 0.0000  6 Pt 2.51
Sn 0.0000 0.0000 0.0000  6 Pt 2.54
Pt 0.2514 0.7486 0.0000  1 Hf 2.51, 1 Sn 2.54
Pt 0.7486 0.7486 0.0000  1 Hf 2.51, 1 Sn 2.54
Pt 0.2514 0.2514 0.4972  1 Hf 2.51, 1 Sn 2.54
Pt 0.7486 0.2514 0.0000  1 Hf 2.51, 1 Sn 2.54
Pt 0.2514 0.2514 0.0000  1 Hf 2.51, 1 Sn 2.54
Pt 0.7486 0.7486 0.5028  1 Hf 2.51, 1 Sn 2.54



A plane-wave DFT calculation with GGA-PBE was carried out for an optimized crystal structure of TiSiTeN2.

Total magnetization (μB/f.u.): 0.000
Energy relative to the elements, uncorrected (eV/atom): 0.64
Offset from the most stable computed form (eV per atom): 0.1118
D(E_F) (states/eV/atom): 0.94
SG: P4/mmm (123)

a = 3.6377 Å, b = 3.6377 Å, c = 6.0199 Å
α = 90.00°, β = 90.00°, γ = 90.00°
Last column: nearest neighbours and their distance in Å.
Element x y z (fractional)
N 0.0000 0.5000 0.0000  2 Si 1.82
N 0.5000 0.0000 0.0000  2 Si 1.82
Si 0.0000 0.0000 0.0000  4 N 1.82
Te 0.0000 0.0000 0.5000  4 Ti 2.57
Ti 0.5000 0.5000 0.5000  4 Te 2.57



A plane-wave DFT calculation with GGA-PBE was carried out for an optimized crystal structure of ZnFeCl2.

Total magnetization (μB/f.u.): 3.255
Energy relative to the elements, uncorrected (eV/atom): -0.21
Offset from the most stable computed form (eV per atom): 0.1550
D(E_F) (states/eV/atom): 1.15
SG: Imm2 (44)

a = 6.0542 Å, b = 6.0542 Å, c = 6.0542 Å
α = 149.59°, β = 104.54°, γ = 83.48°
Last column: nearest neighbours and their distance in Å.
Element x y z (fractional)
Zn 0.2638 0.7638 0.5000  2 Cl 2.35, 2 Fe 2.59
Fe 0.4907 0.4907 0.0000  2 Cl 2.29
Cl 0.0724 0.0724 0.0000  2 Zn 2.35
Cl 0.6731 0.1731 0.5000  2 Fe 2.29



A plane-wave DFT calculation with GGA-PBE was carried out for an optimized crystal structure of Ac4ScTe5.

Total magnetization (μB/f.u.): 0.000
Energy relative to the elements, uncorrected (eV/atom): -1.39
D(E_F) (states/eV/atom): 0.67
SG: R-3m (166)

a = 4.5465 Å, b = 4.5465 Å, c = 19.6883 Å
α = 83.37°, β = 83.37°, γ = 60.00°
Last column: nearest neighbours and their distance in Å.
Element x y z (fractional)
Ac 0.8944 0.8944 0.3167  6 Te 3.33-3.35
Ac 0.2981 0.2981 0.1058  6 Te 3.34
Ac 0.7019 0.7019 0.8942  6 Te 3.34
Ac 0.1056 0.1056 0.6833  6 Te 3.33-3.35
Sc 0.5000 0.5000 0.5000  6 Te 3.02
Te 0.4040 0.4040 0.7881  6 Ac 3.33-3.34
Te 0.0000 0.0000 0.0000  6 Ac 3.34
Te 0.5960 0.5960 0.2119  6 Ac 3.33-3.34
Te 0.8077 0.8077 0.5770  3 Sc 3.02, 3 Ac 3.35
Te 0.1923 0.1923 0.4230  3 Sc 3.02, 3 Ac 3.35



A plane-wave DFT calculation with GGA-PBE was carried out for an optimized crystal structure of Te3Cl.

Total magnetization (μB/f.u.): 0.000
Energy relative to the elements, uncorrected (eV/atom): -0.06
Offset from the most stable computed form (eV per atom): 0.0000
D(E_F) (states/eV/atom): 0.27
SG: C2/m (12)

a = 4.2720 Å, b = 4.2720 Å, c = 8.3389 Å
α = 85.86°, β = 85.86°, γ = 59.75°
Last column: nearest neighbours and their distance in Å.
Element x y z (fractional)
Cl 0.0000 0.0000 0.0000  2 Te 2.76
Te 0.5000 0.5000 0.5000  6 Te 3.09-3.12
Te 0.8150 0.8150 0.7261  1 Cl 2.76, 2 Te 3.09
Te 0.1850 0.1850 0.2739  1 Cl 2.76, 2 Te 3.09